Density functional theory data (GGA-PBE) for a relaxed Y2BCl crystal.

Summary:
volume = 21.7 Å³ per atom

```
data_Y2BCl
_cell_length_a 3.8456
_cell_length_b 3.8456
_cell_length_c 20.3148
_cell_angle_alpha 90.00
_cell_angle_beta 90.00
_cell_angle_gamma 120.00
_space_group_name_H-M_alt 'R -3 m'
_space_group_IT_number 166
_space_group_name_Hall '-R 3 2"'
loop_
_atom_site_label
_atom_site_fract_x
_atom_site_fract_y
_atom_site_fract_z
_atom_site_occupancy
Y1 0.0000 0.0000 0.2322 1
B1 0.0000 0.0000 0.5000 1
Cl1 0.0000 0.0000 0.0000 1
```

Density functional theory data (GGA-PBE) for a relaxed TeS2N2 crystal.

Summary:
volume = 18.1 Å³ per atom

```
data_TeS2N2
_cell_length_a 3.8245
_cell_length_b 3.8245
_cell_length_c 6.1769
_cell_angle_alpha 90.00
_cell_angle_beta 90.00
_cell_angle_gamma 90.00
_space_group_name_H-M_alt 'P 4/m m m'
_space_group_IT_number 123
_space_group_name_Hall '-P 4 2'
loop_
_atom_site_label
_atom_site_fract_x
_atom_site_fract_y
_atom_site_fract_z
_atom_site_occupancy
Te1 0.0000 0.0000 0.0000 1
S1 0.0000 0.0000 0.5000 1
S2 0.5000 0.5000 0.5000 1
N1 0.0000 0.5000 0.0000 1
```

Density functional theory data (GGA-PBE) for a relaxed LaCdSiAu crystal.

Summary:
volume = 22.8 Å³ per atom

```
data_LaCdSiAu
_cell_length_a 7.1488
_cell_length_b 7.1488
_cell_length_c 7.1488
_cell_angle_alpha 90.00
_cell_angle_beta 90.00
_cell_angle_gamma 90.00
_space_group_name_H-M_alt 'F -4 3 m'
_space_group_IT_number 216
_space_group_name_Hall 'F -4 2 3'
loop_
_atom_site_label
_atom_site_fract_x
_atom_site_fract_y
_atom_site_fract_z
_atom_site_occupancy
La1 0.0000 0.0000 0.0000 1
Cd1 0.0000 0.0000 0.5000 1
Si1 0.2500 0.2500 0.7500 1
Au1 0.2500 0.2500 0.2500 1
```

Computed values of magnetization (unit: μB/f.u.) for the preceding records, in sequence: 0.00 0.24 0.00.
Computed values of density of states at the Fermi level (unit: states/eV per cell) for the preceding records, in sequence: 7.4 2.9 6.4.
Computed values of E_form (uncorrected) (unit: eV/atom) for the preceding records, in sequence: -0.927 1.637 -0.413.